[1]
First-principles (GGA-PBE) data for a relaxed structure of CaZr2Br, as listed in Alexandria.

For the density of states at the Fermi level, the calculation gives 1.731 states/eV per atom. The calculation puts the total magnetization at 0.01 μB per cell. The calculation puts the total energy at -4.957 eV/atom. The formation energy without anion corrections comes out at 0.2358 eV per atom.

The structure belongs to space group Cmmm (No. 65); the cell edges are 5.758, 11.019 and 3.344 Å and the angles 90.00°, 90.00° and 90.00°. Symmetry generates all atoms from Ca at (0.000, 0.000, 0.000), Zr at (0.250, 0.250, 0.500) and Br at (0.000, 0.500, 0.000).

=====

[2]
First-principles (GGA-PBE) data for a relaxed structure of Rb3SiAs, as listed in Alexandria.

For the density of states at the Fermi level, the calculation gives 0.641 states/eV per atom. The calculation puts the total magnetization at 4.00 μB per cell. The calculation puts the total energy at -2.170 eV/atom. The formation energy without anion corrections comes out at 0.4248 eV per atom.

The structure belongs to space group Pm-3m (No. 221); the cell edges are 6.638, 6.638 and 6.638 Å and the angles 90.00°, 90.00° and 90.00°. Symmetry generates all atoms from Rb at (0.000, 0.000, 0.500), Si at (0.500, 0.500, 0.500) and As at (0.000, 0.000, 0.000).

=====

[3]
First-principles (GGA-PBE) data for a relaxed structure of AcH6Au3, as listed in Alexandria.

For the density of states at the Fermi level, the calculation gives 0.000 states/eV per atom. The calculation puts the total magnetization at 0.00 μB per cell. The calculation puts the total energy at -3.523 eV/atom.

The structure belongs to space group R3m (No. 160, hexagonal axes); the cell edges are 10.8504, 10.8504 and 4.5479 Å and the angles 90.00°, 90.00° and 120.00°. Symmetry generates all atoms from Ac at (0.0000, 0.0000, 0.0000), H at (0.0680, 0.1361, 0.4564), H at (0.2115, 0.4230, 0.8681) and Au at (0.0420, 0.5210, 0.3006).

=====

[4]
First-principles (GGA-PBE) data for a relaxed structure of Ba2AlInHg6, as listed in Alexandria.

For the density of states at the Fermi level, the calculation gives 0.463 states/eV per atom. The calculation puts the total magnetization at 0.00 μB per cell. The calculation puts the total energy at -1.483 eV/atom. The calculation puts the energy relative to the elements at -0.27 eV per atom.

The structure belongs to space group P-1 (No. 2); the cell edges are 6.318, 7.341 and 7.647 Å and the angles 78.96°, 70.96° and 67.59°. Symmetry generates all atoms from Ba at (0.210, 0.248, 0.285), Al at (0.000, 0.000, 0.000), In at (0.500, 0.500, 0.500), Hg at (0.195, 0.780, 0.280), Hg at (0.283, 0.611, 0.901) and Hg at (0.290, 0.207, 0.776).

=====

[5]
First-principles (GGA-PBE) data for a relaxed structure of LuHfBeIr, as listed in Alexandria.

For the density of states at the Fermi level, the calculation gives 0.488 states/eV per atom. The calculation puts the total magnetization at 0.00 μB per cell. The calculation puts the total energy at -7.216 eV/atom. The calculation puts the energy relative to the elements at -0.45 eV per atom.

The structure belongs to space group F-43m (No. 216); the cell edges are 6.581, 6.581 and 6.581 Å and the angles 90.00°, 90.00° and 90.00°. Symmetry generates all atoms from Lu at (0.000, 0.000, 0.000), Hf at (0.000, 0.000, 0.500), Be at (0.250, 0.250, 0.750) and Ir at (0.250, 0.250, 0.250).

=====

[6]
First-principles (GGA-PBE) data for a relaxed structure of SrCaHfZrO6, as listed in Alexandria.

For the density of states at the Fermi level, the calculation gives 0.000 states/eV per atom. The calculation puts the total magnetization at 0.00 μB per cell. The calculation puts the total energy at -8.408 eV/atom. The formation energy without anion corrections comes out at -3.2148 eV per atom.

The structure belongs to space group F-43m (No. 216); the cell edges are 8.301, 8.301 and 8.301 Å and the angles 90.00°, 90.00° and 90.00°. Symmetry generates all atoms from Sr at (0.000, 0.000, 0.000), Ca at (0.000, 0.000, 0.500), Hf at (0.250, 0.250, 0.250), Zr at (0.250, 0.250, 0.750) and O at (0.002, 0.250, 0.250).

=====

[7]
First-principles (GGA-PBE) data for a relaxed structure of Ac2Nd, as listed in Alexandria.

For the density of states at the Fermi level, the calculation gives 1.860 states/eV per atom. The calculation puts the total magnetization at 0.00 μB per cell. The calculation puts the total energy at -4.301 eV/atom. The calculation puts the energy relative to the elements at 0.03 eV per atom.

The structure belongs to space group I4/mmm (No. 139); the cell edges are 3.918, 3.918 and 16.305 Å and the angles 90.00°, 90.00° and 90.00°. Symmetry generates all atoms from Ac at (0.000, 0.000, 0.162) and Nd at (0.000, 0.000, 0.500).

=====

[8]
First-principles (GGA-PBE) data for a relaxed structure of NbHgTeN2, as listed in Alexandria.

For the density of states at the Fermi level, the calculation gives 1.132 states/eV per atom. The calculation puts the total magnetization at 0.00 μB per cell. The calculation puts the total energy at -3.867 eV/atom. The formation energy without anion corrections comes out at 2.1661 eV per atom.

The structure belongs to space group P4/mmm (No. 123); the cell edges are 4.142, 4.142 and 5.756 Å and the angles 90.00°, 90.00° and 90.00°. Symmetry generates all atoms from Nb at (0.000, 0.000, 0.000), Hg at (0.500, 0.500, 0.500), Te at (0.500, 0.500, 0.000) and N at (0.000, 0.500, 0.500).

=====

[9]
First-principles (GGA-PBE) data for a relaxed structure of BeReSe, as listed in Alexandria.

For the density of states at the Fermi level, the calculation gives 0.884 states/eV per atom. The calculation puts the total magnetization at 0.00 μB per cell. The calculation puts the total energy at -5.855 eV/atom. The formation energy without anion corrections comes out at 0.6979 eV per atom.

The structure belongs to space group P-6m2 (No. 187); the cell edges are 4.1827, 4.1827 and 2.9186 Å and the angles 90.00°, 90.00° and 120.00°. Symmetry generates all atoms from Be at (0.0000, 0.0000, 0.0000), Re at (0.6667, 0.3333, 0.5000) and Se at (0.3333, 0.6667, 0.5000).

=====

[10]
First-principles (GGA-PBE) data for a relaxed structure of TbHgPd, as listed in Alexandria.

For the density of states at the Fermi level, the calculation gives 0.736 states/eV per atom. The calculation puts the total magnetization at 0.00 μB per cell. The calculation puts the total energy at -3.975 eV/atom. The calculation puts the energy relative to the elements at -0.60 eV per atom.

The structure belongs to space group P-6m2 (No. 187); the cell edges are 4.7301, 4.7301 and 3.4662 Å and the angles 90.00°, 90.00° and 120.00°. Symmetry generates all atoms from Tb at (0.0000, 0.0000, 0.0000), Hg at (0.6667, 0.3333, 0.5000) and Pd at (0.3333, 0.6667, 0.5000).

=====

[11]
First-principles (GGA-PBE) data for a relaxed structure of PuAlH3, as listed in Alexandria.

For the density of states at the Fermi level, the calculation gives 1.619 states/eV per atom. The calculation puts the total magnetization at 23.16 μB per cell. The calculation puts the total energy at -5.583 eV/atom.

The structure belongs to space group Immm (No. 71); the cell edges are 4.036, 7.287 and 8.194 Å and the angles 90.00°, 90.00° and 90.00°. Symmetry generates all atoms from Pu at (0.000, 0.224, 0.000), Al at (0.000, 0.000, 0.309), H at (0.000, 0.152, 0.500) and H at (0.236, 0.500, 0.365).

=====

[12]
First-principles (GGA-PBE) data for a relaxed structure of SrYTl2, as listed in Alexandria.

For the density of states at the Fermi level, the calculation gives 0.651 states/eV per atom. The calculation puts the total magnetization at 0.00 μB per cell. The calculation puts the total energy at -3.572 eV/atom. The calculation puts the energy relative to the elements at -0.35 eV per atom.

The structure belongs to space group Cmmm (No. 65); the cell edges are 7.937, 7.952 and 3.871 Å and the angles 90.00°, 90.00° and 90.00°. Symmetry generates all atoms from Sr at (0.000, 0.000, 0.000), Y at (0.000, 0.500, 0.000) and Tl at (0.250, 0.250, 0.500).

=====

[13]
First-principles (GGA-PBE) data for a relaxed structure of FeTeMoH, as listed in Alexandria.

For the density of states at the Fermi level, the calculation gives 0.882 states/eV per atom. The calculation puts the total magnetization at 0.00 μB per cell. The calculation puts the total energy at -6.047 eV/atom.

The structure belongs to space group P3m1 (No. 156); the cell edges are 3.8861, 3.8861 and 5.5206 Å and the angles 90.00°, 90.00° and 120.00°. Symmetry generates all atoms from Fe at (0.0000, 0.0000, 0.0000), Te at (0.3333, 0.6667, 0.2054), Mo at (0.6667, 0.3333, 0.8584) and H at (0.6667, 0.3333, 0.5443).

=====

[14]
First-principles (GGA-PBE) data for a relaxed structure of Mg2FeAg, as listed in Alexandria.

For the density of states at the Fermi level, the calculation gives 1.344 states/eV per atom. The calculation puts the total magnetization at 10.68 μB per cell. The calculation puts the total energy at -3.412 eV/atom. The calculation puts the energy relative to the elements at 0.21 eV per atom.

The structure belongs to space group F-43m (No. 216); the cell edges are 6.512, 6.512 and 6.512 Å and the angles 90.00°, 90.00° and 90.00°. Symmetry generates all atoms from Mg at (0.000, 0.000, 0.000), Mg at (0.250, 0.250, 0.250), Fe at (0.250, 0.250, 0.750) and Ag at (0.000, 0.000, 0.500).